{"formula": "La4PrDy3Te8", "functional": "GGA-PBE", "state": "optimized geometry", "energy_ev_per_cell": -86.73, "e_form_raw_ev_per_atom": -1.457, "cell": [[8.9750, 0.0000, 0.0000], [0.0000, 8.9897, 0.0039], [-4.4875, -4.4835, 6.3495]], "species": ["La", "La", "La", "La", "Pr", "Dy", "Dy", "Dy", "Te", "Te", "Te", "Te", "Te", "Te", "Te", "Te"], "fractional_positions": [[0.5000, 0.0000, 0.0000], [0.5000, 0.0000, 0.5000], [0.0000, 0.0000, 0.0000], [0.0000, 0.0000, 0.5000], [0.0000, 0.5000, 0.0000], [0.5000, 0.5000, 0.0000], [0.5000, 0.5000, 0.5000], [0.0000, 0.5000, 0.5000], [0.2493, 0.7376, 0.9883], [0.2493, 0.7376, 0.4986], [0.2557, 0.2672, 0.5115], [0.7390, 0.7376, 0.9883], [0.2610, 0.2624, 0.0117], [0.7443, 0.7328, 0.4885], [0.7507, 0.2624, 0.5014], [0.7507, 0.2624, 0.0117]]}